[1]
A plane-wave DFT calculation with PBE-GGA was carried out for crystalline Sr2TaZn at its relaxed geometry.

The structure in CIF format:
```
data_Sr2TaZn
_cell_length_a 3.390
_cell_length_b 4.853
_cell_length_c 6.866
_cell_angle_alpha 90.00
_cell_angle_beta 90.15
_cell_angle_gamma 90.00
_space_group_name_H-M_alt 'P 1 2/m 1'
_space_group_IT_number 10
loop_
_space_group_symop_operation_xyz
'x,y,z'
'-x,-y,-z'
'-x,y,-z'
'x,-y,z'
loop_
_atom_site_label
_atom_site_type_symbol
_atom_site_fract_x
_atom_site_fract_y
_atom_site_fract_z
Sr1 Sr 0.001 0.000 0.251
Ta1 Ta 0.500 0.500 0.000
Zn1 Zn 0.500 0.500 0.500
```

Output
Calculated formation energy   0.763 eV/atom

[2]
A plane-wave DFT calculation with PBE-GGA was carried out for crystalline NaHfTl at its relaxed geometry.

The structure in CIF format:
```
data_NaHfTl
_cell_length_a 5.239
_cell_length_b 3.289
_cell_length_c 17.455
_cell_angle_alpha 90.00
_cell_angle_beta 90.00
_cell_angle_gamma 90.00
_space_group_name_H-M_alt 'A m m 2'
_space_group_IT_number 38
loop_
_space_group_symop_operation_xyz
'x,y,z'
'-x,-y,z'
'-x,y,z'
'x,-y,z'
'x,y+1/2,z+1/2'
'-x,-y+1/2,z+1/2'
'-x,y+1/2,z+1/2'
'x,-y+1/2,z+1/2'
loop_
_atom_site_label
_atom_site_type_symbol
_atom_site_fract_x
_atom_site_fract_y
_atom_site_fract_z
Na1 Na 0.000 0.000 0.000
Na2 Na 0.500 0.000 0.461
Hf1 Hf 0.500 0.000 0.148
Hf2 Hf 0.500 0.000 0.788
Tl1 Tl 0.000 0.000 0.328
Tl2 Tl 0.000 0.000 0.658
```

Output
Calculated formation energy   0.162 eV/atom
Relative energy among the computed polymorphs   172.5 meV per atom

[3]
A plane-wave DFT calculation with PBE-GGA was carried out for crystalline SmPaTc at its relaxed geometry.

The structure in CIF format:
```
data_SmPaTc
_cell_length_a 7.590
_cell_length_b 4.741
_cell_length_c 8.368
_cell_angle_alpha 90.00
_cell_angle_beta 90.00
_cell_angle_gamma 90.00
_space_group_name_H-M_alt 'P n m a'
_space_group_IT_number 62
loop_
_space_group_symop_operation_xyz
'x,y,z'
'-x,-y,-z'
'-x+1/2,-y,z+1/2'
'x+1/2,y,-z+1/2'
'x+1/2,-y+1/2,-z+1/2'
'-x+1/2,y+1/2,z+1/2'
'-x,y+1/2,-z'
'x,-y+1/2,z'
loop_
_atom_site_label
_atom_site_type_symbol
_atom_site_fract_x
_atom_site_fract_y
_atom_site_fract_z
Sm1 Sm 0.022 0.250 0.160
Pa1 Pa 0.133 0.250 0.585
Tc1 Tc 0.185 0.750 0.400
```

Output
Calculated formation energy   -0.125 eV/atom
Relative energy among the computed polymorphs   0.0 meV per atom

[4]
A plane-wave DFT calculation with PBE-GGA was carried out for crystalline AcTb2Tl at its relaxed geometry.

The structure in CIF format:
```
data_AcTb2Tl
_cell_length_a 6.072
_cell_length_b 3.600
_cell_length_c 13.051
_cell_angle_alpha 90.00
_cell_angle_beta 90.11
_cell_angle_gamma 90.00
_space_group_name_H-M_alt 'P 1 21/m 1'
_space_group_IT_number 11
loop_
_space_group_symop_operation_xyz
'x,y,z'
'-x,-y,-z'
'-x,y+1/2,-z'
'x,-y+1/2,z'
loop_
_atom_site_label
_atom_site_type_symbol
_atom_site_fract_x
_atom_site_fract_y
_atom_site_fract_z
Ac1 Ac 0.248 0.250 0.174
Tb1 Tb 0.250 0.250 0.457
Tb2 Tb 0.251 0.750 0.689
Tl1 Tl 0.252 0.750 0.943
```

Output
Calculated formation energy   0.143 eV/atom
Relative energy among the computed polymorphs   315.3 meV per atom

[5]
A plane-wave DFT calculation with PBE-GGA was carried out for crystalline SrOs2Se at its relaxed geometry.

The structure in CIF format:
```
data_SrOs2Se
_cell_length_a 3.073
_cell_length_b 3.073
_cell_length_c 7.926
_cell_angle_alpha 90.00
_cell_angle_beta 90.00
_cell_angle_gamma 90.00
_space_group_name_H-M_alt 'P 4/m m m'
_space_group_IT_number 123
_space_group_name_Hall '-P 4 2'
loop_
_atom_site_label
_atom_site_type_symbol
_atom_site_fract_x
_atom_site_fract_y
_atom_site_fract_z
Sr1 Sr 0.000 0.000 0.000
Os1 Os 0.500 0.500 0.312
Se1 Se 0.000 0.000 0.500
```

Output
Uncorrected formation energy   0.88 eV/atom

[6]
A plane-wave DFT calculation with PBE-GGA was carried out for crystalline YTm2Bi at its relaxed geometry.

The structure in CIF format:
```
data_YTm2Bi
_cell_length_a 4.134
_cell_length_b 12.354
_cell_length_c 9.534
_cell_angle_alpha 90.00
_cell_angle_beta 90.00
_cell_angle_gamma 90.00
_space_group_name_H-M_alt 'C m c m'
_space_group_IT_number 63
_space_group_name_Hall '-C 2c 2'
loop_
_atom_site_label
_atom_site_type_symbol
_atom_site_fract_x
_atom_site_fract_y
_atom_site_fract_z
Y1 Y 0.000 0.054 0.250
Tm1 Tm 0.000 0.367 0.046
Bi1 Bi 0.000 0.242 0.750
```

Output
Calculated formation energy   -0.379 eV/atom
Relative energy among the computed polymorphs   0.0 meV per atom